[1]
A relaxed structure of YEr6Mg2. Source: Alexandria via LeMat-Bulk, functional PBE.

a = 8.158 Å, b = 8.158 Å, c = 8.158 Å
α = 47.56°, β = 47.56°, γ = 47.56°
Sites, in units of the cell vectors:
1 Y 0.000 0.000 0.000
2 Er 0.055 0.518 0.597
3 Er 0.214 0.763 0.659
4 Er 0.518 0.597 0.055
5 Er 0.597 0.055 0.518
6 Er 0.659 0.214 0.763
7 Er 0.763 0.659 0.214
8 Mg 0.140 0.140 0.140
9 Mg 0.273 0.273 0.273

* ΔE_f: 20.0 kJ/mol of atoms

=====

[2]
A relaxed structure of Y2Er8Mg. Source: Alexandria via LeMat-Bulk, functional PBE.

a = 8.693 Å, b = 8.693 Å, c = 6.605 Å
α = 100.46°, β = 100.46°, γ = 44.13°
Sites, in units of the cell vectors:
1 Y 0.187 0.187 0.301
2 Y 0.813 0.813 0.699
3 Er 0.178 0.660 0.115
4 Er 0.247 0.247 0.823
5 Er 0.340 0.822 0.885
6 Er 0.406 0.406 0.587
7 Er 0.594 0.594 0.413
8 Er 0.660 0.178 0.115
9 Er 0.753 0.753 0.177
10 Er 0.822 0.340 0.885
11 Mg 0.000 0.000 0.500

* ΔE_f: 15.0 kJ/mol of atoms
* offset from the most stable computed form: 0.047 eV/atom

=====

[3]
A relaxed structure of Y2ErMg5. Source: Alexandria via LeMat-Bulk, functional PBE.

a = 8.422 Å, b = 8.422 Å, c = 8.422 Å
α = 143.70°, β = 143.70°, γ = 52.28°
Sites, in units of the cell vectors:
1 Y 0.244 0.244 0.000
2 Y 0.756 0.756 0.000
3 Er 0.500 0.500 0.000
4 Mg 0.000 0.000 0.000
5 Mg 0.118 0.618 0.500
6 Mg 0.382 0.882 0.500
7 Mg 0.618 0.118 0.500
8 Mg 0.882 0.382 0.500

* ΔE_f: -7.6 kJ/mol of atoms

=====

[4]
A relaxed structure of YEr2Mg2. Source: Alexandria via LeMat-Bulk, functional PBE.

a = 3.708 Å, b = 5.408 Å, c = 14.001 Å
α = 90.00°, β = 97.61°, γ = 90.00°
Sites, in units of the cell vectors:
1 Y 0.152 0.250 0.303
2 Y 0.848 0.750 0.697
3 Er 0.044 0.750 0.088
4 Er 0.237 0.750 0.475
5 Er 0.763 0.250 0.525
6 Er 0.956 0.250 0.912
7 Mg 0.360 0.250 0.720
8 Mg 0.446 0.750 0.894
9 Mg 0.554 0.250 0.106
10 Mg 0.640 0.750 0.280

* ΔE_f: -6.9 kJ/mol of atoms
* offset from the most stable computed form: 0.000 eV/atom

=====

[5]
A relaxed structure of Y6ErMg5. Source: Alexandria via LeMat-Bulk, functional PBE.

a = 5.386 Å, b = 7.728 Å, c = 8.572 Å
α = 90.00°, β = 108.32°, γ = 90.00°
Sites, in units of the cell vectors:
1 Y 0.000 0.240 0.000
2 Y 0.000 0.760 0.000
3 Y 0.331 0.247 0.660
4 Y 0.331 0.753 0.660
5 Y 0.669 0.247 0.340
6 Y 0.669 0.753 0.340
7 Er 0.500 0.500 0.000
8 Mg 0.161 0.500 0.324
9 Mg 0.165 0.000 0.334
10 Mg 0.500 0.000 0.000
11 Mg 0.835 0.000 0.666
12 Mg 0.839 0.500 0.676

* ΔE_f: -4.8 kJ/mol of atoms

=====

[6]
A relaxed structure of Y2ErMg. Source: Alexandria via LeMat-Bulk, functional PBE.

a = 12.377 Å, b = 12.377 Å, c = 12.377 Å
α = 16.01°, β = 16.01°, γ = 16.01°
Sites, in units of the cell vectors:
1 Y 0.089 0.089 0.089
2 Y 0.911 0.911 0.911
3 Er 0.500 0.500 0.500
4 Mg 0.000 0.000 0.000

* ΔE_f: 19.0 kJ/mol of atoms
* offset from the most stable computed form: 0.229 eV/atom

=====

Please write out number 3 again, unchanged.
A relaxed structure of Y2ErMg5. Source: Alexandria via LeMat-Bulk, functional PBE.

a = 8.422 Å, b = 8.422 Å, c = 8.422 Å
α = 143.70°, β = 143.70°, γ = 52.28°
Sites, in units of the cell vectors:
1 Y 0.244 0.244 0.000
2 Y 0.756 0.756 0.000
3 Er 0.500 0.500 0.000
4 Mg 0.000 0.000 0.000
5 Mg 0.118 0.618 0.500
6 Mg 0.382 0.882 0.500
7 Mg 0.618 0.118 0.500
8 Mg 0.882 0.382 0.500

* ΔE_f: -7.6 kJ/mol of atoms

=====

> The lowest ΔE_f belongs to which entry?

Y2ErMg5